Record 1
DFT (PBE) results for crystalline Li2Tb2ErTl2 at its relaxed geometry.

Structure (extended XYZ):
```
7
Lattice="-1.2451 -3.6268 2.8930 0.7842 -4.5384 -1.3642 7.9614 -2.4658 4.3230" Properties=species:S:1:pos:R:3 pbc="T T T"
Er 0.0000 0.0000 0.0000
Tl 1.5469 -2.6681 1.3087
Tl 5.9537 -7.9629 4.5431
Li 1.1623 -5.3971 1.7098
Li 6.3383 -5.2339 4.1421
Tb 2.6162 -8.0682 2.9748
Tb 4.8843 -2.5629 2.8770
```

Output
Fermi-level density of states (states/eV/atom): 0.68
Crystal system: trigonal
E_tot (eV for the cell shown): -23.58
Calculated volume (Å³ per cell): 179.2
Space group: No. 166
Formation energy (meV/atom): -171



Record 2
DFT (PBE) results for crystalline IrRuRh2 at its relaxed geometry.

Structure (extended XYZ):
```
4
Lattice="5.3844 0.0090 0.0036 -2.7059 4.6551 0.0036 0.6688 1.1646 2.3342" Properties=species:S:1:pos:R:3 pbc="T T T"
Rh 1.3393 2.3320 0.0036
Rh 0.0000 0.0000 0.0000
Ru 3.0266 0.5868 1.1689
Ir -1.0185 2.9099 1.1689
```

Output
Fermi-level density of states (states/eV/atom): 1.63
Crystal system: monoclinic
E_tot (eV for the cell shown): -31.59
Offset from the most stable computed form (eV/atom): 0.322
Calculated volume (Å³ per cell): 58.5
Space group: No. 12
Formation energy (meV/atom): 312



Record 3
DFT (PBE) results for crystalline ZnGa2Rh2 at its relaxed geometry.

Structure (extended XYZ):
```
5
Lattice="3.5496 0.0000 0.0000 0.0000 3.5496 0.0000 1.7748 1.7748 6.2850" Properties=species:S:1:pos:R:3 pbc="T T T"
Ga 3.5496 1.7748 3.1425
Ga 1.7748 3.5496 3.1425
Rh 1.7748 1.7748 1.3206
Rh 3.5496 3.5496 4.9644
Zn 0.0000 0.0000 0.0000
```

Output
Fermi-level density of states (states/eV/atom): 0.04
Crystal system: tetragonal
E_tot (eV for the cell shown): -23.47
Offset from the most stable computed form (eV/atom): 0.236
Calculated volume (Å³ per cell): 79.2
Space group: No. 139
Formation energy (meV/atom): -288



The lowest E_tot belongs to which entry?
IrRuRh2



What did the second record say?
DFT (PBE) results for crystalline IrRuRh2 at its relaxed geometry.

Structure (extended XYZ):
```
4
Lattice="5.3844 0.0090 0.0036 -2.7059 4.6551 0.0036 0.6688 1.1646 2.3342" Properties=species:S:1:pos:R:3 pbc="T T T"
Rh 1.3393 2.3320 0.0036
Rh 0.0000 0.0000 0.0000
Ru 3.0266 0.5868 1.1689
Ir -1.0185 2.9099 1.1689
```

Output
Fermi-level density of states (states/eV/atom): 1.63
Crystal system: monoclinic
E_tot (eV for the cell shown): -31.59
Offset from the most stable computed form (eV/atom): 0.322
Calculated volume (Å³ per cell): 58.5
Space group: No. 12
Formation energy (meV/atom): 312